Below is a relaxed Hf15In4Sn crystal, with properties calculated at the PBE level.

The calculation puts the volume at 433.93 Å³/cell. Its formation energy is -311 kJ/mol of formula units.

Lattice parameters (Å, degrees): 4.435 4.435 22.066 90.00 90.00 90.00
Element x y z (fractional)
1 Hf 0.000 0.500 0.500
2 Hf 0.500 0.500 0.400
3 Hf 0.500 0.500 0.000
4 Hf 0.500 0.000 0.099
5 Hf 0.000 0.500 0.099
6 Hf 0.500 0.000 0.700
7 Hf 0.500 0.000 0.300
8 Hf 0.000 0.500 0.300
9 Hf 0.500 0.000 0.901
10 Hf 0.500 0.500 0.600
11 Hf 0.000 0.500 0.901
12 Hf 0.000 0.500 0.700
13 Hf 0.500 0.000 0.500
14 Hf 0.500 0.500 0.800
15 Hf 0.500 0.500 0.200
16 In 0.000 0.000 0.600
17 In 0.000 0.000 0.400
18 In 0.000 0.000 0.200
19 In 0.000 0.000 0.800
20 Sn 0.000 0.000 0.000